Record 1
Computed, not measured: a relaxed Ni3TeP crystal at the PBE level of DFT.

```
Ni3TeP
1.0
4.2835 0.0000 0.0000
0.0000 4.2835 0.0000
0.0000 0.0000 4.2835
Ni Te P
3 1 1
Cartesian
0.0000 0.0000 2.1417 Ni
0.0000 2.1417 0.0000 Ni
2.1417 0.0000 0.0000 Ni
2.1417 2.1417 2.1417 Te
0.0000 0.0000 0.0000 P
```

- M_tot (μB per formula unit) = 0.0
- formation energy (no corrections) (kJ/mol of formula units) = 45
- DOS at the Fermi energy (states/eV per cell) = 7.4
- V (Å³/atom) = 15.72
- symmetry = No. 221


Record 2
Computed, not measured: a relaxed Sm4Ho9Tl11 crystal at the PBE level of DFT.

```
Sm4Ho9Tl11
1.0
8.1060 -11.5572 0.0000
8.1060 11.5572 0.0000
0.0000 0.0000 3.5722
Sm Ho Tl
4 9 11
Cartesian
2.7309 1.8811 0.0000 Sm
2.7309 -1.8811 0.0000 Sm
13.4810 1.8811 0.0000 Sm
13.4810 -1.8811 0.0000 Sm
0.0000 0.0000 0.0000 Ho
6.2683 6.3251 0.0000 Ho
6.3528 2.1925 0.0000 Ho
9.9436 6.3251 0.0000 Ho
6.3528 -2.1925 0.0000 Ho
9.8591 2.1925 0.0000 Ho
6.2683 -6.3251 0.0000 Ho
9.8591 -2.1925 0.0000 Ho
9.9436 -6.3251 0.0000 Ho
4.4131 4.1899 1.7861 Tl
8.1060 8.6928 1.7861 Tl
4.7510 0.0000 1.7861 Tl
8.1060 4.3364 1.7861 Tl
4.4131 -4.1899 1.7861 Tl
8.1060 0.0000 1.7861 Tl
11.7988 4.1899 1.7861 Tl
8.1060 -4.3364 1.7861 Tl
11.4609 0.0000 1.7861 Tl
8.1060 -8.6928 1.7861 Tl
11.7988 -4.1899 1.7861 Tl
```

- M_tot (μB per formula unit) = 0.0
- calculated formation energy (eV/atom) = -0.264
- DOS at the Fermi energy (states/eV per cell) = 23.4
- V (Å³/atom) = 27.89
- symmetry = No. 65


Record 3
Computed, not measured: a relaxed ErAlNiAg crystal at the PBE level of DFT.

```
ErAlNiAg
1.0
0.0000 3.2814 3.2814
3.2814 0.0000 3.2814
3.2814 3.2814 0.0000
Er Al Ni Ag
1 1 1 1
Cartesian
0.0000 0.0000 0.0000 Er
3.2814 3.2814 3.2814 Al
4.9221 4.9221 4.9221 Ni
1.6407 1.6407 1.6407 Ag
```

- M_tot (μB per formula unit) = 0.0
- calculated formation energy (eV/atom) = -0.337
- DOS at the Fermi energy (states/eV per cell) = 3.0
- V (Å³/atom) = 17.67
- symmetry = No. 216


Record 4
Computed, not measured: a relaxed InGeB2 crystal at the PBE level of DFT.

```
InGeB2
1.0
-2.6550 2.6550 4.7417
2.6550 -2.6550 4.7417
2.6550 2.6550 -4.7417
In Ge B
2 2 4
Cartesian
0.0000 0.0000 0.0000 In
0.0000 2.6550 2.3709 In
2.6550 0.0000 2.3709 Ge
0.0000 0.0000 4.7417 Ge
1.3275 -1.0722 3.5563 B
1.5827 1.3275 1.1854 B
1.3275 3.7272 -1.1854 B
1.0722 1.3275 5.9272 B
```

- M_tot (μB per formula unit) = 0.0
- calculated formation energy (eV/atom) = 0.860
- DOS at the Fermi energy (states/eV per cell) = 4.2
- V (Å³/atom) = 16.71
- symmetry = No. 122


Record 5
Computed, not measured: a relaxed PmPr2Er3 crystal at the PBE level of DFT.

```
PmPr2Er3
1.0
8.4731 -2.7815 0.0000
8.4731 2.7815 0.0000
-5.7280 0.0000 8.5060
Pm Pr Er
2 4 6
Cartesian
1.4603 0.0000 1.2486 Pm
9.7578 0.0000 7.2574 Pm
-1.1709 0.0000 7.3632 Pr
7.4221 0.0000 1.1670 Pr
3.7960 0.0000 7.3390 Pr
12.3890 0.0000 1.1427 Pr
-1.4116 0.0000 3.4157 Er
1.6990 0.0000 4.9271 Er
4.5942 0.0000 2.9823 Er
6.6239 0.0000 5.5237 Er
9.5191 0.0000 3.5789 Er
12.6297 0.0000 5.0903 Er
```

- M_tot (μB per formula unit) = 0.0
- calculated formation energy (eV/atom) = 0.099
- DOS at the Fermi energy (states/eV per cell) = 20.1
- V (Å³/atom) = 33.41
- symmetry = No. 12


Record 6
Computed, not measured: a relaxed Rb5In2O crystal at the PBE level of DFT.

```
Rb5In2O
1.0
-5.3003 5.3003 3.0965
5.3003 -5.3003 3.0965
5.3003 5.3003 -3.0965
Rb In O
5 2 1
Cartesian
0.0000 0.0000 6.1927 Rb
3.4257 3.4257 0.0000 Rb
1.8746 -1.8746 3.0965 Rb
-1.8746 1.8746 3.0965 Rb
1.8746 1.8746 3.0965 Rb
5.3003 0.0000 1.5608 In
0.0000 5.3003 1.5608 In
0.0000 0.0000 3.0947 O
```

- M_tot (μB per formula unit) = 0.0
- formation energy (no corrections) (kJ/mol of formula units) = -256
- DOS at the Fermi energy (states/eV per cell) = 4.7
- V (Å³/atom) = 43.50
- symmetry = No. 107


Record 7
Computed, not measured: a relaxed MnCoNi2H4 crystal at the PBE level of DFT.

```
MnCoNi2H4
1.0
-2.6583 2.6612 3.7508
2.6583 -2.6612 3.7508
2.6583 2.6612 -3.7508
Mn Co Ni H
2 2 4 8
Cartesian
0.0000 0.0000 0.0000 Mn
0.0000 2.6612 0.0000 Mn
-1.3292 1.3306 1.8754 Co
1.3292 1.3306 1.8754 Co
1.3292 1.3306 -1.8754 Ni
1.3292 -1.3306 1.8754 Ni
2.6583 0.0000 0.0000 Ni
0.0000 0.0000 3.7508 Ni
2.6583 0.0712 1.8184 H
1.3719 1.3306 0.0527 H
3.9448 1.3306 0.0527 H
0.0000 0.0712 1.9324 H
2.6583 2.5901 1.8184 H
-1.2864 1.3306 3.6981 H
1.2864 1.3306 3.6981 H
0.0000 2.5901 1.9324 H
```

- M_tot (μB per formula unit) = 4.3
- DOS at the Fermi energy (states/eV per cell) = 8.2
- E_tot (eV per atom) = -5.1891
- V (Å³/atom) = 6.63
- symmetry = No. 74


Record 8
Computed, not measured: a relaxed LiAc2HfPd6 crystal at the PBE level of DFT.

```
LiAc2HfPd6
1.0
6.2420 -2.8475 0.0000
6.2420 2.8475 0.0000
-5.7610 0.0000 6.2268
Li Ac Hf Pd
1 2 1 6
Cartesian
0.0000 0.0000 0.0000 Li
-1.3969 0.0000 5.0101 Ac
8.1200 0.0000 1.2167 Ac
3.3615 0.0000 3.1134 Hf
1.9049 1.4717 4.6767 Pd
4.8182 1.4717 1.5501 Pd
0.7709 0.0000 2.5236 Pd
5.9521 0.0000 3.7032 Pd
1.9049 -1.4717 4.6767 Pd
4.8182 -1.4717 1.5501 Pd
```

- M_tot (μB per formula unit) = 0.0
- calculated formation energy (eV/atom) = -0.595
- DOS at the Fermi energy (states/eV per cell) = 4.6
- V (Å³/atom) = 22.14
- symmetry = No. 12


Record 9
Computed, not measured: a relaxed PrHo6Hg2 crystal at the PBE level of DFT.

```
PrHo6Hg2
1.0
6.3115 -1.8631 0.0000
6.3115 1.8631 0.0000
-3.7395 0.0000 11.2523
Pr Ho Hg
1 6 2
Cartesian
0.0000 0.0000 0.0000 Pr
-1.0869 0.0000 3.8254 Ho
3.4690 0.0000 1.4096 Ho
2.3919 0.0000 4.7036 Ho
6.4915 0.0000 6.5486 Ho
5.4144 0.0000 9.8427 Ho
9.9703 0.0000 7.4269 Ho
1.4859 0.0000 8.7792 Hg
7.3975 0.0000 2.4731 Hg
```

- M_tot (μB per formula unit) = 0.0
- calculated formation energy (eV/atom) = -0.200
- DOS at the Fermi energy (states/eV per cell) = 9.9
- V (Å³/atom) = 29.40
- symmetry = No. 12


Record 10
Computed, not measured: a relaxed RbAg2Os crystal at the PBE level of DFT.

```
RbAg2Os
1.0
0.0000 3.5788 3.5788
3.5788 0.0000 3.5788
3.5788 3.5788 0.0000
Rb Ag Os
1 2 1
Cartesian
0.0000 0.0000 0.0000 Rb
1.7894 1.7894 1.7894 Ag
5.3682 5.3682 5.3682 Ag
3.5788 3.5788 3.5788 Os
```

- M_tot (μB per formula unit) = 2.3
- calculated formation energy (eV/atom) = 1.378
- DOS at the Fermi energy (states/eV per cell) = 2.2
- V (Å³/atom) = 22.92
- symmetry = No. 225


Record 11
Computed, not measured: a relaxed Mn2Cd4B crystal at the PBE level of DFT.

```
Mn2Cd4B
1.0
-2.2103 2.2103 7.2455
2.2103 -2.2103 7.2455
2.2103 2.2103 -7.2455
Mn Cd B
2 4 1
Cartesian
0.0000 0.0000 2.0862 Mn
0.0000 0.0000 12.4048 Mn
2.2103 0.0000 0.0000 Cd
0.0000 0.0000 4.7506 Cd
0.0000 2.2103 0.0000 Cd
0.0000 0.0000 9.7403 Cd
0.0000 0.0000 7.2455 B
```

- M_tot (μB per formula unit) = 8.0
- calculated formation energy (eV/atom) = 0.770
- DOS at the Fermi energy (states/eV per cell) = 4.5
- V (Å³/atom) = 20.23
- symmetry = No. 139


Record 12
Computed, not measured: a relaxed PmSmTm2 crystal at the PBE level of DFT.

```
PmSmTm2
1.0
1.7919 1.0345 11.5245
-1.7919 1.0345 11.5245
0.0000 -2.0691 11.5245
Pm Sm Tm
1 1 2
Cartesian
0.0000 0.0000 0.0000 Pm
0.0000 0.0000 28.8397 Sm
0.0000 0.0000 8.6480 Tm
0.0000 0.0000 14.4455 Tm
```

- M_tot (μB per formula unit) = 0.0
- calculated formation energy (eV/atom) = 0.021
- DOS at the Fermi energy (states/eV per cell) = 5.7
- V (Å³/atom) = 32.05
- symmetry = No. 160


Record 13
Computed, not measured: a relaxed Sc4In2Hg crystal at the PBE level of DFT.

```
Sc4In2Hg
1.0
2.4729 1.4278 8.0699
-2.4729 1.4278 8.0699
0.0000 -2.8555 8.0699
Sc In Hg
4 2 1
Cartesian
0.0000 0.0000 2.9193 Sc
0.0000 0.0000 9.0175 Sc
0.0000 0.0000 15.1924 Sc
0.0000 0.0000 21.2905 Sc
0.0000 0.0000 6.0887 In
0.0000 0.0000 18.1212 In
0.0000 0.0000 12.1049 Hg
```

- M_tot (μB per formula unit) = 0.0
- calculated formation energy (eV/atom) = -0.259
- DOS at the Fermi energy (states/eV per cell) = 7.6
- V (Å³/atom) = 24.42
- symmetry = No. 166


Record 14
Computed, not measured: a relaxed BaTaTl4 crystal at the PBE level of DFT.

```
BaTaTl4
1.0
0.0000 4.4658 4.4658
4.4658 0.0000 4.4658
4.4658 4.4658 0.0000
Ba Ta Tl
1 1 4
Cartesian
0.0000 0.0000 0.0000 Ba
6.6987 6.6987 6.6987 Ta
3.3573 3.3573 3.3573 Tl
5.5742 5.5742 3.3573 Tl
5.5742 3.3573 5.5742 Tl
3.3573 5.5742 5.5742 Tl
```

- M_tot (μB per formula unit) = 2.4
- calculated formation energy (eV/atom) = 0.551
- DOS at the Fermi energy (states/eV per cell) = 4.3
- V (Å³/atom) = 29.69
- symmetry = No. 216


Record 15
Computed, not measured: a relaxed Na2AcI5 crystal at the PBE level of DFT.

```
Na2AcI5
1.0
14.8763 0.0000 0.0000
0.0000 9.7560 0.0000
0.0000 0.0000 9.6771
Na Ac I
8 4 20
Cartesian
3.3051 0.3191 0.7513 Na
3.3051 4.5589 0.7513 Na
4.1331 5.1971 5.5898 Na
4.1331 9.4369 5.5898 Na
10.7432 0.3191 4.0873 Na
10.7432 4.5589 4.0873 Na
11.5712 5.1971 8.9258 Na
11.5712 9.4369 8.9258 Na
0.3088 2.4390 4.1494 Ac
7.1294 7.3170 8.9880 Ac
7.7469 2.4390 0.6891 Ac
14.5675 7.3170 5.5276 Ac
0.9838 2.4390 0.9073 I
1.1456 0.3432 6.6392 I
1.1456 4.5348 6.6392 I
2.5544 7.3170 3.7169 I
3.6828 2.4390 3.9692 I
3.7553 7.3170 8.8078 I
4.8838 2.4390 8.5554 I
6.2925 5.2212 1.8007 I
6.2925 9.4128 1.8007 I
6.4543 7.3170 5.7458 I
8.4220 2.4390 3.9313 I
8.5838 0.3432 7.8764 I
8.5838 4.5348 7.8764 I
9.9925 7.3170 1.1217 I
11.1210 2.4390 0.8693 I
11.1935 7.3170 5.7078 I
12.3219 2.4390 5.9602 I
13.7307 5.2212 3.0378 I
13.7307 9.4128 3.0378 I
13.8925 7.3170 8.7698 I
```

- M_tot (μB per formula unit) = 0.0
- formation energy (no corrections) (kJ/mol of formula units) = -1059
- DOS at the Fermi energy (states/eV per cell) = 0.0
- V (Å³/atom) = 43.89
- symmetry = No. 62


Record 16
Computed, not measured: a relaxed Ti2BeHIr crystal at the PBE level of DFT.

```
Ti2BeHIr
1.0
4.0310 0.0000 0.0000
0.0000 4.0310 0.0000
0.0000 0.0000 3.5429
Ti Be H Ir
2 1 1 1
Cartesian
0.0000 2.0155 0.0000 Ti
2.0155 0.0000 0.0000 Ti
0.0000 0.0000 1.7715 Be
0.0000 0.0000 0.0000 H
2.0155 2.0155 1.7715 Ir
```

- M_tot (μB per formula unit) = 0.0
- DOS at the Fermi energy (states/eV per cell) = 4.8
- E_tot (eV per atom) = -6.7696
- V (Å³/atom) = 11.51
- symmetry = No. 123


Record 17
Computed, not measured: a relaxed Ac8Tl2Os crystal at the PBE level of DFT.

```
Ac8Tl2Os
1.0
10.0418 -2.8472 0.0000
10.0418 2.8472 0.0000
-1.6844 0.0000 7.2734
Ac Tl Os
8 2 1
Cartesian
-0.0871 0.0000 2.0750 Ac
2.8220 0.0000 5.8121 Ac
6.2384 0.0000 3.9507 Ac
8.1616 0.0000 0.5548 Ac
10.2377 0.0000 6.7186 Ac
12.1608 0.0000 3.3227 Ac
15.5772 0.0000 1.4614 Ac
18.4863 0.0000 5.1984 Ac
3.3926 0.0000 1.7564 Tl
15.0066 0.0000 5.5171 Tl
9.1996 0.0000 3.6367 Os
```

- M_tot (μB per formula unit) = 0.0
- calculated formation energy (eV/atom) = -0.082
- DOS at the Fermi energy (states/eV per cell) = 11.2
- V (Å³/atom) = 37.81
- symmetry = No. 12


Record 18
Computed, not measured: a relaxed AsPb2C crystal at the PBE level of DFT.

```
AsPb2C
1.0
0.0000 3.5315 3.5315
3.5315 0.0000 3.5315
3.5315 3.5315 0.0000
As Pb C
1 2 1
Cartesian
0.0000 0.0000 0.0000 As
1.7657 1.7657 1.7657 Pb
5.2972 5.2972 5.2972 Pb
3.5315 3.5315 3.5315 C
```

- M_tot (μB per formula unit) = 0.0
- calculated formation energy (eV/atom) = 1.347
- DOS at the Fermi energy (states/eV per cell) = 2.7
- V (Å³/atom) = 22.02
- symmetry = No. 225


Record 19
Computed, not measured: a relaxed Cs3YS3 crystal at the PBE level of DFT.

```
Cs3YS3
1.0
4.7593 -7.3447 0.0000
4.7593 7.3447 0.0000
-1.7222 0.0000 8.3950
Cs Y S
6 2 6
Cartesian
4.7593 4.6337 0.0000 Cs
3.8982 3.6136 4.1975 Cs
3.3414 0.0000 1.1730 Cs
4.4550 0.0000 7.2220 Cs
3.8982 -3.6136 4.1975 Cs
4.7593 -4.6337 0.0000 Cs
0.5530 0.0000 5.3953 Y
7.2434 0.0000 2.9997 Y
0.3544 0.0000 2.7355 S
1.5701 2.0938 6.4745 S
1.5701 -2.0938 6.4745 S
6.2263 2.0938 1.9205 S
6.2263 -2.0938 1.9205 S
7.4420 0.0000 5.6595 S
```

- M_tot (μB per formula unit) = 0.0
- formation energy (no corrections) (kJ/mol of formula units) = -995
- DOS at the Fermi energy (states/eV per cell) = 0.0
- V (Å³/atom) = 41.92
- symmetry = No. 12


Record 20
Computed, not measured: a relaxed MgSnB3 crystal at the PBE level of DFT.

```
MgSnB3
1.0
4.5284 0.0000 0.0000
0.0000 4.5284 0.0000
0.0000 0.0000 4.5284
Mg Sn B
1 1 3
Cartesian
0.0000 0.0000 0.0000 Mg
2.2642 2.2642 2.2642 Sn
0.0000 2.2642 2.2642 B
2.2642 0.0000 2.2642 B
2.2642 2.2642 0.0000 B
```

- M_tot (μB per formula unit) = 0.0
- calculated formation energy (eV/atom) = 1.969
- DOS at the Fermi energy (states/eV per cell) = 2.4
- V (Å³/atom) = 18.57
- symmetry = No. 221